8
Lattice="3.224 0.000 0.000 0.000 4.835 0.000 0.000 0.000 9.706" Properties=species:S:1:pos:R:3 comment="PBE-GGA Tm3HfIr4, optimized geometry" final_energy_ev_per_atom=-8.280 formation_energy_ev_per_atom=-0.93 pbc="T T T"
Tm 0.000 0.000 0.000
Tm 0.000 2.417 2.423
Tm 0.000 2.417 7.283
Hf 0.000 0.000 4.853
Ir 1.612 0.000 2.596
Ir 1.612 0.000 7.109
Ir 1.612 2.417 0.000
Ir 1.612 2.417 4.853